First-principles (PBEsol) data for an optimized crystal structure of Sr2Mg17, as listed in Alexandria via LeMat-Bulk.

Cell lengths 10.4212, 10.4212, 10.2418 Å; angles 90.00, 90.00, 120.00 degrees
Closest atoms and distances in Å follow each position.
Space group P6_3/mmc (No. 194)
Asymmetric unit:
1 Sr 0.0000 0.0000 0.2500 [2 per cell]  18 Mg 3.65-4.08
2 Sr 0.3333 0.6667 0.2500 [2 per cell]  20 Mg 3.60-3.95
3 Mg 0.0000 0.5000 0.0000 [6 per cell]  10 Mg 3.03-3.18
4 Mg 0.0378 0.3672 0.7500 [12 per cell]  8 Mg 3.03-3.19
5 Mg 0.1651 0.3303 0.0214 [12 per cell]  9 Mg 3.01-3.29
6 Mg 0.3333 0.6667 0.6019 [4 per cell]  7 Mg 3.03-3.29

Energy of formation, meV/atom: -51

First-principles (PBEsol) data for an optimized crystal structure of Zr3Ni20B6, as listed in Alexandria via LeMat-Bulk.

Cell lengths 10.5603, 10.5603, 10.5603 Å; angles 90.00, 90.00, 90.00 degrees
Closest atoms and distances in Å follow each position.
Space group Fm-3m (No. 225)
Asymmetric unit:
1 Zr 0.0000 0.0000 0.0000 [4 per cell]  12 Ni 2.58, 6 B 2.82
2 Zr 0.2500 0.2500 0.2500 [8 per cell]  4 Ni 2.49
3 Ni 0.0000 0.1725 0.1725 [48 per cell]  2 B 2.08, 1 Ni 2.32
4 Ni 0.1138 0.1138 0.3862 [32 per cell]  3 B 2.12
5 B 0.0000 0.0000 0.2669 [24 per cell]  8 Ni 2.08-2.12

Energy of formation, meV/atom: -483

First-principles (PBEsol) data for an optimized crystal structure of Rb3AsF6, as listed in Alexandria via LeMat-Bulk.

Cell lengths 9.2815, 9.2815, 9.2815 Å; angles 90.00, 90.00, 90.00 degrees
Closest atoms and distances in Å follow each position.
Space group Fm-3m (No. 225)
Asymmetric unit:
1 Rb 0.0000 0.0000 0.0000 [4 per cell]  6 F 2.59
2 Rb 0.2500 0.2500 0.2500 [8 per cell]  12 F 3.29
3 As 0.0000 0.0000 0.5000 [4 per cell]  6 F 2.05
4 F 0.0000 0.0000 0.2795 [24 per cell]  1 As 2.05

Uncorrected formation energy, eV/atom: -2.50

First-principles (PBEsol) data for an optimized crystal structure of MgTi2SiPd, as listed in Alexandria via LeMat-Bulk.

Cell lengths 4.6398, 4.6398, 4.3908 Å; angles 90.00, 90.00, 90.00 degrees
Closest atoms and distances in Å follow each position.
Space group P4/mmm (No. 123)
Asymmetric unit:
1 Mg 0.0000 0.0000 0.0000 [1 per cell]  2 Pd 2.20, 4 Ti 2.32
2 Ti 0.0000 0.5000 0.0000 [2 per cell]  2 Mg 2.32
3 Si 0.5000 0.5000 0.5000 [1 per cell]  8 Ti 3.19, 4 Pd 3.28
4 Pd 0.0000 0.0000 0.5000 [1 per cell]  2 Mg 2.20

Uncorrected formation energy, eV/atom: 1.07

First-principles (PBEsol) data for an optimized crystal structure of Cd2IrW, as listed in Alexandria via LeMat-Bulk.

Cell lengths 3.8650, 3.8650, 9.0563 Å; angles 90.00, 90.00, 90.00 degrees
Closest atoms and distances in Å follow each position.
Space group I4/mmm (No. 139)
Asymmetric unit:
1 Cd 0.0000 0.5000 0.2500 [4 per cell]  4 Cd 2.73, 4 W 2.98, 4 Ir 2.98
2 Ir 0.0000 0.0000 0.0000 [2 per cell]  4 W 2.73, 8 Cd 2.98
3 W 0.0000 0.0000 0.5000 [2 per cell]  4 Ir 2.73, 8 Cd 2.98

Energy of formation, meV/atom: 604

First-principles (PBEsol) data for an optimized crystal structure of YCuP2, as listed in Alexandria via LeMat-Bulk.

Cell lengths 4.1924, 4.1924, 3.6871 Å; angles 90.00, 90.00, 90.00 degrees
Closest atoms and distances in Å follow each position.
Space group P4/mmm (No. 123)
Asymmetric unit:
1 Y 0.0000 0.0000 0.0000 [1 per cell]  8 P 2.79, 4 Cu 2.96
2 Cu 0.5000 0.5000 0.0000 [1 per cell]  8 P 2.79, 4 Y 2.96
3 P 0.0000 0.5000 0.5000 [2 per cell]  4 Y 2.79, 4 Cu 2.79, 4 P 2.96

Energy of formation, meV/atom: -520

First-principles (PBEsol) data for an optimized crystal structure of BaCa2Os, as listed in Alexandria via LeMat-Bulk.

Cell lengths 4.9296, 4.9296, 8.5636 Å; angles 90.00, 90.00, 90.00 degrees
Closest atoms and distances in Å follow each position.
Space group I4/mmm (No. 139)
Asymmetric unit:
1 Ba 0.0000 0.0000 0.0000 [2 per cell]  8 Ca 3.26, 4 Os 3.49
2 Ca 0.0000 0.5000 0.2500 [4 per cell]  4 Ba 3.26, 4 Os 3.26, 4 Ca 3.49
3 Os 0.0000 0.0000 0.5000 [2 per cell]  8 Ca 3.26, 4 Ba 3.49

Energy of formation, meV/atom: 583

First-principles (PBEsol) data for an optimized crystal structure of Mg3Tc, as listed in Alexandria via LeMat-Bulk.

Cell lengths 4.1229, 4.1229, 4.1229 Å; angles 90.00, 90.00, 90.00 degrees
Closest atoms and distances in Å follow each position.
Space group Pm-3m (No. 221)
Asymmetric unit:
1 Mg 0.0000 0.0000 0.5000 [3 per cell]  4 Tc 2.92, 8 Mg 2.92
2 Tc 0.5000 0.5000 0.5000 [1 per cell]  12 Mg 2.92

Energy of formation, meV/atom: 280

First-principles (PBEsol) data for an optimized crystal structure of Ti2NiCl, as listed in Alexandria via LeMat-Bulk.

Cell lengths 6.0486, 6.0486, 6.0486 Å; angles 90.00, 90.00, 90.00 degrees
Closest atoms and distances in Å follow each position.
Space group Fm-3m (No. 225)
Asymmetric unit:
1 Ti 0.2500 0.2500 0.2500 [8 per cell]  4 Cl 2.62, 4 Ni 2.62
2 Ni 0.0000 0.0000 0.0000 [4 per cell]  8 Ti 2.62
3 Cl 0.0000 0.0000 0.5000 [4 per cell]  8 Ti 2.62

Uncorrected formation energy, eV/atom: -0.13

First-principles (PBEsol) data for an optimized crystal structure of Zn2IrRh, as listed in Alexandria via LeMat-Bulk.

Cell lengths 2.6866, 4.0618, 5.0910 Å; angles 90.00, 105.22, 90.00 degrees
Closest atoms and distances in Å follow each position.
Space group Pm (No. 6)
Asymmetric unit:
1 Zn 0.0000 0.0000 0.0000 [1 per cell]  4 Zn 2.45-2.69, 2 Ir 2.52-2.74, 4 Rh 2.64
2 Zn 0.1432 0.5000 0.2792 [1 per cell]  4 Zn 2.45-2.69, 2 Rh 2.51-2.74, 4 Ir 2.64
3 Ir 0.7463 0.0000 0.4874 [1 per cell]  7 Zn 2.52-2.75, 2 Ir 2.69
4 Rh 0.3968 0.5000 0.7911 [1 per cell]  7 Zn 2.51-2.75, 2 Rh 2.69

Energy of formation, meV/atom: -130

First-principles (PBEsol) data for an optimized crystal structure of Y2ScAg, as listed in Alexandria via LeMat-Bulk.

Cell lengths 3.4769, 3.4769, 8.3149 Å; angles 90.00, 90.00, 90.00 degrees
Closest atoms and distances in Å follow each position.
Space group P4/mmm (No. 123)
Asymmetric unit:
1 Y 0.0000 0.0000 0.2265 [2 per cell]  4 Ag 3.10, 4 Sc 3.35
2 Sc 0.5000 0.5000 0.5000 [1 per cell]  8 Y 3.35, 4 Sc 3.48
3 Ag 0.5000 0.5000 0.0000 [1 per cell]  8 Y 3.10

Energy of formation, meV/atom: -116

First-principles (PBEsol) data for an optimized crystal structure of Ca2HgRh, as listed in Alexandria via LeMat-Bulk.

Cell lengths 3.4611, 3.4611, 7.3863 Å; angles 90.00, 90.00, 90.00 degrees
Closest atoms and distances in Å follow each position.
Space group P4/mmm (No. 123)
Asymmetric unit:
1 Ca 0.0000 0.0000 0.2199 [2 per cell]  4 Rh 2.94, 4 Hg 3.20, 1 Ca 3.25
2 Hg 0.5000 0.5000 0.5000 [1 per cell]  8 Ca 3.20, 4 Hg 3.46
3 Rh 0.5000 0.5000 0.0000 [1 per cell]  8 Ca 2.94

Energy of formation, meV/atom: -417

First-principles (PBEsol) data for an optimized crystal structure of MgPtCl2, as listed in Alexandria via LeMat-Bulk.

Cell lengths 6.4791, 6.4791, 6.4791 Å; angles 90.00, 90.00, 90.00 degrees
Closest atoms and distances in Å follow each position.
Space group Fm-3m (No. 225)
Asymmetric unit:
1 Mg 0.0000 0.0000 0.0000 [4 per cell]  8 Cl 2.81
2 Pt 0.0000 0.0000 0.5000 [4 per cell]  8 Cl 2.81
3 Cl 0.2500 0.2500 0.2500 [8 per cell]  4 Mg 2.81, 4 Pt 2.81

Uncorrected formation energy, eV/atom: -0.23

First-principles (PBEsol) data for an optimized crystal structure of BaMgCdF2, as listed in Alexandria via LeMat-Bulk.

Cell lengths 4.8450, 4.8450, 8.1432 Å; angles 90.00, 90.00, 90.00 degrees
Closest atoms and distances in Å follow each position.
Space group P4/mmm (No. 123)
Asymmetric unit:
1 Ba 0.0000 0.0000 0.0000 [1 per cell]  4 F 2.42
2 Mg 0.0000 0.0000 0.5000 [1 per cell]  4 Cd 3.43
3 Cd 0.5000 0.5000 0.5000 [1 per cell]  4 Mg 3.43
4 F 0.0000 0.5000 0.0000 [2 per cell]  2 Ba 2.42

Uncorrected formation energy, eV/atom: -1.63

First-principles (PBEsol) data for an optimized crystal structure of CoRhCl3, as listed in Alexandria via LeMat-Bulk.

Cell lengths 4.4717, 4.4717, 4.4717 Å; angles 90.00, 90.00, 90.00 degrees
Closest atoms and distances in Å follow each position.
Space group Pm-3m (No. 221)
Asymmetric unit:
1 Co 0.0000 0.0000 0.0000 [1 per cell]  6 Cl 2.24
2 Rh 0.5000 0.5000 0.5000 [1 per cell]  12 Cl 3.16
3 Cl 0.0000 0.0000 0.5000 [3 per cell]  2 Co 2.24

Uncorrected formation energy, eV/atom: 0.42

First-principles (PBEsol) data for an optimized crystal structure of In3Pb5, as listed in Alexandria via LeMat-Bulk.

Cell lengths 9.8324, 10.1086, 4.5273 Å; angles 90.00, 90.00, 90.00 degrees
Closest atoms and distances in Å follow each position.
Space group Cmmm (No. 65)
Asymmetric unit:
1 In 0.0000 0.0000 0.0000 [2 per cell]  8 Pb 3.28-3.53, 4 In 3.38
2 In 0.0000 0.2485 0.5000 [4 per cell]  10 Pb 3.34-3.59, 2 In 3.38
3 Pb 0.0000 0.5000 0.0000 [2 per cell]  8 Pb 3.40-3.53, 4 In 3.40
4 Pb 0.2416 0.0000 0.5000 [4 per cell]  6 In 3.28-3.59, 6 Pb 3.39-3.40
5 Pb 0.2500 0.2500 0.0000 [4 per cell]  6 In 3.34-3.53, 6 Pb 3.39-3.53

Energy of formation, meV/atom: 14

First-principles (PBEsol) data for an optimized crystal structure of AlH3O3, as listed in Alexandria via LeMat-Bulk.

Cell lengths 4.8235, 5.0412, 5.0590 Å; angles 103.41, 98.94, 117.23 degrees
Closest atoms and distances in Å follow each position.
Space group P1 (No. 1)
Asymmetric unit:
1 Al 0.0000 0.0000 0.0000 [1 per cell]  6 O 1.85-1.97
2 Al 0.3220 0.6381 0.9969 [1 per cell]  6 O 1.86-1.96
3 H 0.2177 0.8545 0.5947 [1 per cell]  1 O 0.99
4 H 0.4535 0.4885 0.4299 [1 per cell]  1 O 1.01
5 H 0.6400 0.4239 0.7764 [1 per cell]  1 O 0.99
6 H 0.6554 0.1890 0.2095 [1 per cell]  1 O 0.99
7 H 0.8673 0.1546 0.5785 [1 per cell]  1 O 1.01
8 H 0.8872 0.6202 0.2300 [1 per cell]  1 O 0.99
9 O 0.1043 0.7824 0.2325 [1 per cell]  1 H 0.99
10 O 0.2219 0.8622 0.7933 [1 per cell]  1 H 0.99
11 O 0.3966 0.4029 0.2153 [1 per cell]  1 H 1.01
12 O 0.5925 0.5956 0.7782 [1 per cell]  1 H 0.99
13 O 0.7284 0.0379 0.2281 [1 per cell]  1 H 0.99
14 O 0.9399 0.2406 0.7937 [1 per cell]  1 H 1.01

Uncorrected energy, eV/atom: -6.033

First-principles (PBEsol) data for an optimized crystal structure of IrPt2, as listed in Alexandria via LeMat-Bulk.

Cell lengths 7.2245, 7.2245, 7.2245 Å; angles 90.00, 90.00, 90.00 degrees
Closest atoms and distances in Å follow each position.
Space group Fd-3m (No. 227, origin choice 2)
Asymmetric unit:
1 Ir 0.1250 0.1250 0.1250 [8 per cell]  12 Pt 3.00, 4 Ir 3.13
2 Pt 0.0000 0.0000 0.5000 [16 per cell]  6 Pt 2.55

Energy of formation, meV/atom: 698

First-principles (PBEsol) data for an optimized crystal structure of LiCa3Zr, as listed in Alexandria via LeMat-Bulk.

Cell lengths 5.5039, 5.5039, 5.5039 Å; angles 90.00, 90.00, 90.00 degrees
Closest atoms and distances in Å follow each position.
Space group Pm-3m (No. 221)
Asymmetric unit:
1 Li 0.0000 0.0000 0.0000 [1 per cell]  6 Ca 2.75
2 Ca 0.0000 0.0000 0.5000 [3 per cell]  2 Li 2.75
3 Zr 0.5000 0.5000 0.5000 [1 per cell]  12 Ca 3.89

Energy of formation, meV/atom: 718

First-principles (PBEsol) data for an optimized crystal structure of Li3Mg, as listed in Alexandria via LeMat-Bulk.

Cell lengths 6.0456, 6.0456, 4.9851 Å; angles 90.00, 90.00, 120.00 degrees
Closest atoms and distances in Å follow each position.
Space group P6_3/mmc (No. 194)
Asymmetric unit:
1 Li 0.1662 0.3323 0.2500 [6 per cell]  8 Li 3.01-3.04, 4 Mg 3.02-3.05
2 Mg 0.3333 0.6667 0.7500 [2 per cell]  12 Li 3.02-3.05

Energy of formation, meV/atom: -28

First-principles (PBEsol) data for an optimized crystal structure of CeCdAu, as listed in Alexandria via LeMat-Bulk.

Cell lengths 7.7035, 7.7035, 4.0013 Å; angles 90.00, 90.00, 120.00 degrees
Closest atoms and distances in Å follow each position.
Space group P-62m (No. 189)
Asymmetric unit:
1 Ce 0.0000 0.4080 0.0000 [3 per cell]  5 Au 3.07-3.14, 6 Cd 3.27-3.40
2 Cd 0.0000 0.7436 0.5000 [3 per cell]  4 Au 2.81-2.91
3 Au 0.0000 0.0000 0.0000 [1 per cell]  6 Cd 2.81, 3 Ce 3.14
4 Au 0.3333 0.6667 0.5000 [2 per cell]  3 Cd 2.91, 6 Ce 3.07

Energy of formation, meV/atom: -503

First-principles (PBEsol) data for an optimized crystal structure of Hg2PCl2, as listed in Alexandria via LeMat-Bulk.

Cell lengths 8.6279, 7.9686, 7.6214 Å; angles 90.00, 117.01, 90.00 degrees
Closest atoms and distances in Å follow each position.
Space group C2/m (No. 12)
Asymmetric unit:
1 Hg 0.2088 0.0000 0.4303 [4 per cell]  1 P 2.40, 1 Cl 2.43
2 Hg 0.2500 0.2500 0.0000 [4 per cell]  2 P 2.42
3 P 0.1411 0.0000 0.0875 [4 per cell]  1 P 2.18, 3 Hg 2.40-2.42
4 Cl 0.0000 0.2251 0.5000 [4 per cell]  2 Hg 2.76
5 Cl 0.1044 0.5000 0.2166 [4 per cell]  1 Hg 2.43

Uncorrected formation energy, eV/atom: -0.42